No. 1
## LaPr2I8 (PBE)

Data for LaPr2I8 after structural relaxation.

Cell and atoms, written as POSCAR:
```
LaPr2I8
1.0
-5.675 0.157 -2.849
-2.290 -3.617 7.534
1.385 8.508 0.879
La Pr I
1 2 8
direct
0.500 0.000 0.000
0.000 0.316 0.684
0.000 0.684 0.316
0.918 0.934 0.676
0.918 0.676 0.934
0.323 0.634 0.634
0.500 0.769 0.231
0.500 0.231 0.769
0.677 0.366 0.366
0.082 0.324 0.066
0.082 0.066 0.324
```

formation energy (no corrections)	-1.23	eV per atom
crystal system	monoclinic

No. 2
## InINF2 (PBE)

Data for InINF2 after structural relaxation.

Cell and atoms, written as POSCAR:
```
InINF2
1.0
-3.422 2.824 -1.071
-1.957 -0.841 4.037
3.406 5.163 2.727
I N F In
1 1 2 1
direct
0.000 0.000 0.000
0.500 0.500 0.500
0.000 0.500 0.000
0.500 0.000 0.000
0.000 0.000 0.500
```

offset from the most stable computed form	0.849	eV per atom
formation energy (no corrections)	0.34	eV per atom
crystal system	tetragonal

No. 3
## Ni2CS (PBE)

Data for Ni2CS after structural relaxation.

Cell and atoms, written as POSCAR:
```
Ni2CS
1.0
6.208 0.000 -0.019
0.000 2.951 0.000
-6.121 0.000 10.430
Ni S C
8 4 4
direct
0.085 0.000 0.173
0.915 0.000 0.827
0.085 0.500 0.673
0.915 0.500 0.327
0.686 0.000 0.986
0.314 0.000 0.014
0.686 0.500 0.486
0.314 0.500 0.514
0.692 0.000 0.179
0.308 0.000 0.821
0.692 0.500 0.679
0.308 0.500 0.321
0.071 0.000 0.471
0.929 0.000 0.529
0.071 0.500 0.971
0.929 0.500 0.029
```

offset from the most stable computed form	0.055	eV per atom
formation energy (no corrections)	0.17	eV per atom
crystal system	monoclinic

No. 4
## Li6SbPd12 (PBE)

Data for Li6SbPd12 after structural relaxation.

Cell and atoms, written as POSCAR:
```
Li6SbPd12
1.0
6.492 0.000 2.081
-3.224 6.016 2.614
0.043 0.000 7.308
Li Sb Pd
6 1 12
direct
0.430 0.484 0.209
0.054 0.692 0.516
0.362 0.791 0.692
0.570 0.516 0.791
0.946 0.308 0.484
0.638 0.209 0.308
0.000 0.000 0.000
0.520 0.838 0.270
0.682 0.892 0.838
0.790 0.270 0.892
0.480 0.162 0.730
0.318 0.108 0.162
0.210 0.730 0.108
0.266 0.431 0.631
0.102 0.369 0.062
0.164 0.062 0.569
0.734 0.569 0.369
0.898 0.631 0.938
0.836 0.938 0.431
```

offset from the most stable computed form	0.000	eV per atom
formation energy (no corrections)	-0.36	eV per atom
crystal system	trigonal

No. 5
## Zr2GePd (PBE)

Data for Zr2GePd after structural relaxation.

Cell and atoms, written as POSCAR:
```
Zr2GePd
1.0
4.031 0.000 0.000
0.000 5.554 0.038
0.000 -2.720 6.941
Zr Ge Pd
4 2 2
direct
0.750 0.202 0.426
0.250 0.798 0.574
0.250 0.790 0.078
0.750 0.210 0.922
0.250 0.328 0.206
0.750 0.672 0.794
0.750 0.655 0.298
0.250 0.345 0.702
```

crystal system	monoclinic
ΔE_f	-269	kJ/mol of formula units

No. 6
## Cs3PmTm2S6 (PBE)

Data for Cs3PmTm2S6 after structural relaxation.

Cell and atoms, written as POSCAR:
```
Cs3PmTm2S6
1.0
-3.955 2.783 -5.222
0.219 -7.053 0.925
-5.053 1.886 6.449
Cs Pm Tm S
3 1 2 6
direct
0.165 0.835 0.500
0.835 0.165 0.500
0.500 0.500 0.500
0.000 0.000 0.000
0.333 0.667 0.000
0.667 0.333 0.000
0.940 0.596 0.818
0.717 0.717 0.181
0.060 0.404 0.182
0.596 0.940 0.818
0.283 0.283 0.819
0.404 0.060 0.182
```

formation energy (no corrections)	-1.82	eV per atom
crystal system	monoclinic

No. 7
## BaZn2Pb (PBE)

Data for BaZn2Pb after structural relaxation.

Cell and atoms, written as POSCAR:
```
BaZn2Pb
1.0
-0.321 -0.291 4.399
0.459 -4.355 -0.255
6.217 -1.523 0.353
Ba Pb Zn
1 1 2
direct
0.000 0.468 0.446
0.500 0.760 0.856
0.000 0.178 0.004
0.500 0.094 0.195
```

crystal system	monoclinic
ΔE_f	-72	kJ/mol of formula units

No. 8
## LaTb4Sm3S8 (PBE)

Data for LaTb4Sm3S8 after structural relaxation.

Cell and atoms, written as POSCAR:
```
LaTb4Sm3S8
1.0
7.956 0.000 0.000
0.000 7.997 0.024
-3.978 -3.974 5.628
La Tb Sm S
1 4 3 8
direct
0.000 0.500 0.000
0.500 0.000 0.000
0.500 0.000 0.500
0.000 0.000 0.000
0.000 0.000 0.500
0.500 0.500 0.000
0.500 0.500 0.500
0.000 0.500 0.500
0.256 0.762 0.006
0.256 0.762 0.512
0.247 0.242 0.494
0.750 0.762 0.006
0.250 0.238 0.994
0.753 0.758 0.506
0.744 0.238 0.488
0.744 0.238 0.994
```

formation energy (no corrections)	-2.03	eV per atom
crystal system	trigonal

| no. | theoretical density (g/cm³) | calculated volume (Å³ per cell) | uncorrected energy (eV/atom) |
| --- | --- | --- | --- |
| 1 | 5.61 | 425 | -3.677 |
| 2 | 3.46 | 141 | -2.930 |
| 3 | 5.62 | 191 | -6.057 |
| 4 | 8.40 | 285 | -4.461 |
| 5 | 7.71 | 156 | -7.424 |
| 6 | 5.04 | 354 | -5.239 |
| 7 | 6.74 | 117 | -2.232 |
| 8 | 6.86 | 359 | -6.445 |